Cd3FeN: optimized geometry, GGA-PBE.

- Raw formation energy: 0.880 eV/atom

```
Cd3FeN
1.0
4.5664 0.0000 0.0000
0.0000 4.5664 0.0000
0.0000 0.0000 4.5664
Cd Fe N
3 1 1
Cartesian
0.0000 0.0000 2.2832
0.0000 2.2832 0.0000
2.2832 0.0000 0.0000
2.2832 2.2832 2.2832
0.0000 0.0000 0.0000
```